First-principles (PBE) data for a relaxed K6AuCl crystal, as listed in Alexandria via LeMat-Bulk.

Uncorrected formation energy = -4.2 eV/f.u.
Theoretical density = 1.8 g/cm3

Cell: 8.033 8.033 15.429 Å, 90.00 90.00 120.00°
Atoms (fractional coordinates):
K1 0.002 0.324 0.124
K2 0.002 0.678 0.376
K3 0.322 0.324 0.376
K4 0.322 0.998 0.124
K5 0.324 0.002 0.624
K6 0.324 0.322 0.876
K7 0.676 0.678 0.124
K8 0.676 0.998 0.376
K9 0.678 0.002 0.876
K10 0.678 0.676 0.624
K11 0.998 0.322 0.624
K12 0.998 0.676 0.876
Au1 0.333 0.667 0.250
Au2 0.667 0.333 0.750
Cl1 0.000 0.000 0.000
Cl2 0.000 0.000 0.500